The following is a PBE calculation of Ca3Ga2SiAu9 after structural relaxation, from the Alexandria database.

abc: 7.7755 7.7755 6.6344
angles: 90.00 90.00 120.00
Last column: nearest neighbours and their distance in Å.
Space group P-3m1 (No. 164)
Asymmetric unit:
Ca (0.0000, 0.0000, 0.0000)  6 Au 3.12, 2 Si 3.32
Ca (0.3333, 0.6667, 0.6677)  6 Au 3.15-3.19, 2 Ga 3.29-3.34
Ga (0.3333, 0.6667, 0.1717)  6 Au 2.52-2.53
Si (0.0000, 0.0000, 0.5000)  6 Au 2.46
Au (0.0000, 0.5000, 0.0000)  2 Ga 2.52
Au (0.1630, 0.3261, 0.3339)  1 Si 2.46, 1 Ga 2.53

Output
- total DFT energy (no corrections) (eV per cell) = -52.60
- formation energy without anion corrections (meV per atom) = -375